8
Lattice="-0.660 2.407 3.599 3.077 -5.509 4.248 5.490 4.822 -2.218" Properties=species:S:1:pos:R:3 comment="LiPm2YTe4, optimized geometry, DFT PBE-GGA" formation_energy_uncorrected_ev_per_atom=-1.360 pbc="T T T"
Li 0.000 0.000 0.000
Pm 2.415 3.615 0.690
Pm 4.283 -0.343 1.015
Y 1.208 -1.551 3.924
Te 1.698 1.013 2.299
Te 6.209 0.708 3.330
Te 4.951 2.314 -0.640
Te 3.616 -3.001 2.670